This record from Alexandria via LeMat-Bulk describes an optimized crystal structure of InCuAs2. The functional is PBE.

Cell lengths 3.751, 4.193, 4.933 Å; angles 90.00, 90.00, 90.00 degrees
Fractional positions:
1 As 0.000 0.000 0.000
2 As 0.500 0.500 0.000
3 Cu 0.500 0.000 0.500
4 In 0.000 0.500 0.500

Calculated values
ΔE_f = 0.317 eV per atom